Run a
# MnNbMo2

A relaxed structure of MnNbMo2 (PBE-GGA, Alexandria via LeMat-Bulk). Values from VASP.

Geometry as Quantum ESPRESSO input:
```
&SYSTEM
  ibrav = 0, nat = 4, ntyp = 3
/
ATOMIC_SPECIES
Mn 54.94 Mn.upf
Nb 92.91 Nb.upf
Mo 95.94 Mo.upf
CELL_PARAMETERS angstrom
4.419 0.000 0.000
0.000 4.419 0.000
0.000 0.000 3.169
ATOMIC_POSITIONS crystal
Mn 0.000 0.000 0.000
Nb 0.500 0.500 0.000
Mo 0.000 0.500 0.500
Mo 0.500 0.000 0.500
```

---

Run b
# MnNbMo2

A relaxed structure of MnNbMo2 (PBE-GGA, Alexandria via LeMat-Bulk). Values from VASP.

Geometry as Quantum ESPRESSO input:
```
&SYSTEM
  ibrav = 0, nat = 4, ntyp = 3
/
ATOMIC_SPECIES
Mn 54.94 Mn.upf
Nb 92.91 Nb.upf
Mo 95.94 Mo.upf
CELL_PARAMETERS angstrom
0.000 3.119 3.119
3.119 0.000 3.119
3.119 3.119 0.000
ATOMIC_POSITIONS crystal
Mn 0.000 0.000 0.000
Nb 0.500 0.500 0.500
Mo 0.250 0.250 0.250
Mo 0.750 0.750 0.750
```

---

We find run a to be the most stable, with the next structure 0.008 eV/atom higher.

---

Run a
# Mn3NbMo

A relaxed structure of Mn3NbMo (PBE-GGA, Alexandria via LeMat-Bulk). Values from VASP.

Geometry as Quantum ESPRESSO input:
```
&SYSTEM
  ibrav = 0, nat = 5, ntyp = 3
/
ATOMIC_SPECIES
Mn 54.94 Mn.upf
Nb 92.91 Nb.upf
Mo 95.94 Mo.upf
CELL_PARAMETERS angstrom
4.347 0.000 0.000
0.000 4.347 0.000
0.000 0.000 4.347
ATOMIC_POSITIONS crystal
Mn 0.000 0.000 0.500
Mn 0.000 0.500 0.000
Mn 0.500 0.000 0.000
Nb 0.500 0.500 0.500
Mo 0.000 0.000 0.000
```

---

Run b
# Mn3NbMo

A relaxed structure of Mn3NbMo (PBE-GGA, Alexandria via LeMat-Bulk). Values from VASP.

Geometry as Quantum ESPRESSO input:
```
&SYSTEM
  ibrav = 0, nat = 5, ntyp = 3
/
ATOMIC_SPECIES
Mn 54.94 Mn.upf
Nb 92.91 Nb.upf
Mo 95.94 Mo.upf
CELL_PARAMETERS angstrom
4.578 0.000 0.000
0.000 4.578 0.000
0.000 0.000 4.578
ATOMIC_POSITIONS crystal
Mn 0.000 0.000 0.500
Mn 0.000 0.500 0.000
Mn 0.500 0.000 0.000
Nb 0.000 0.000 0.000
Mo 0.500 0.500 0.500
```

---

We find run a to be the most stable, with the next structure 0.182 eV/atom higher.

---

Run a
# MnNbSnMo2

A relaxed structure of MnNbSnMo2 (PBE-GGA, Alexandria via LeMat-Bulk). Values from VASP.

Geometry as Quantum ESPRESSO input:
```
&SYSTEM
  ibrav = 0, nat = 5, ntyp = 4
/
ATOMIC_SPECIES
Mn 54.94 Mn.upf
Nb 92.91 Nb.upf
Sn 118.71 Sn.upf
Mo 95.94 Mo.upf
CELL_PARAMETERS angstrom
4.907 0.000 0.000
0.000 4.907 0.000
0.000 0.000 4.559
ATOMIC_POSITIONS crystal
Mn 0.000 0.000 0.000
Nb 0.500 0.500 0.000
Sn 0.000 0.000 0.500
Mo 0.000 0.500 0.500
Mo 0.500 0.000 0.500
```

---

Run b
# MnNbSnMo2

A relaxed structure of MnNbSnMo2 (PBE-GGA, Alexandria via LeMat-Bulk). Values from VASP.

Geometry as Quantum ESPRESSO input:
```
&SYSTEM
  ibrav = 0, nat = 5, ntyp = 4
/
ATOMIC_SPECIES
Mn 54.94 Mn.upf
Nb 92.91 Nb.upf
Sn 118.71 Sn.upf
Mo 95.94 Mo.upf
CELL_PARAMETERS angstrom
4.698 0.000 0.000
0.000 4.698 0.000
0.000 0.000 5.228
ATOMIC_POSITIONS crystal
Mn 0.000 0.000 0.000
Nb 0.500 0.500 0.500
Sn 0.500 0.500 0.000
Mo 0.000 0.500 0.500
Mo 0.500 0.000 0.500
```

---

We find run a to be the most stable, with the next structure 0.190 eV/atom higher.

---

Run a
# MnNi6Mo

A relaxed structure of MnNi6Mo (PBE-GGA, Alexandria via LeMat-Bulk). Values from VASP.

Geometry as Quantum ESPRESSO input:
```
&SYSTEM
  ibrav = 0, nat = 8, ntyp = 3
/
ATOMIC_SPECIES
Mn 54.94 Mn.upf
Ni 58.69 Ni.upf
Mo 95.94 Mo.upf
CELL_PARAMETERS angstrom
3.597 -2.399 0.000
3.597 2.399 0.000
-1.949 0.000 6.089
ATOMIC_POSITIONS crystal
Mn 0.000 0.000 0.000
Ni 0.057 0.537 0.700
Ni 0.365 0.365 0.070
Ni 0.463 0.943 0.300
Ni 0.537 0.057 0.700
Ni 0.635 0.635 0.930
Ni 0.943 0.463 0.300
Mo 0.500 0.500 0.500
```

---

Run b
# MnNi6Mo

A relaxed structure of MnNi6Mo (PBE-GGA, Alexandria via LeMat-Bulk). Values from VASP.

Geometry as Quantum ESPRESSO input:
```
&SYSTEM
  ibrav = 0, nat = 32, ntyp = 3
/
ATOMIC_SPECIES
Mn 54.94 Mn.upf
Ni 58.69 Ni.upf
Mo 95.94 Mo.upf
CELL_PARAMETERS angstrom
3.613 -5.098 0.000
3.613 5.098 0.000
0.000 0.000 10.201
ATOMIC_POSITIONS crystal
Mn 0.000 0.000 0.246
Mn 0.000 0.000 0.754
Mn 0.250 0.750 0.000
Mn 0.750 0.250 0.000
Ni 0.000 0.000 0.000
Ni 0.000 0.000 0.500
Ni 0.126 0.376 0.376
Ni 0.126 0.376 0.624
Ni 0.127 0.376 0.126
Ni 0.127 0.376 0.874
Ni 0.251 0.749 0.252
Ni 0.251 0.749 0.748
Ni 0.376 0.126 0.376
Ni 0.376 0.126 0.624
Ni 0.376 0.127 0.126
Ni 0.376 0.127 0.874
Ni 0.500 0.500 0.000
Ni 0.500 0.500 0.500
Ni 0.624 0.873 0.126
Ni 0.624 0.873 0.874
Ni 0.624 0.874 0.376
Ni 0.624 0.874 0.624
Ni 0.749 0.251 0.252
Ni 0.749 0.251 0.748
Ni 0.873 0.624 0.126
Ni 0.873 0.624 0.874
Ni 0.874 0.624 0.376
Ni 0.874 0.624 0.624
Mo 0.252 0.748 0.500
Mo 0.500 0.500 0.243
Mo 0.500 0.500 0.757
Mo 0.748 0.252 0.500
```

---

Run c
# MnNi6Mo

A relaxed structure of MnNi6Mo (PBE-GGA, Alexandria via LeMat-Bulk). Values from VASP.

Geometry as Quantum ESPRESSO input:
```
&SYSTEM
  ibrav = 0, nat = 8, ntyp = 3
/
ATOMIC_SPECIES
Mn 54.94 Mn.upf
Ni 58.69 Ni.upf
Mo 95.94 Mo.upf
CELL_PARAMETERS angstrom
3.609 0.000 0.000
0.000 3.609 0.000
0.000 0.000 7.207
ATOMIC_POSITIONS crystal
Mn 0.000 0.000 0.000
Ni 0.000 0.500 0.252
Ni 0.000 0.500 0.748
Ni 0.500 0.000 0.252
Ni 0.500 0.000 0.748
Ni 0.500 0.500 0.000
Ni 0.500 0.500 0.500
Mo 0.000 0.000 0.500
```

---

We find run c to be the most stable, with the next structure 0.010 eV/atom higher.

---

Run a
# MnNi3Mo

A relaxed structure of MnNi3Mo (PBE-GGA, Alexandria via LeMat-Bulk). Values from VASP.

Geometry as Quantum ESPRESSO input:
```
&SYSTEM
  ibrav = 0, nat = 5, ntyp = 3
/
ATOMIC_SPECIES
Mn 54.94 Mn.upf
Ni 58.69 Ni.upf
Mo 95.94 Mo.upf
CELL_PARAMETERS angstrom
4.180 0.000 0.000
0.000 4.180 0.000
0.000 0.000 4.180
ATOMIC_POSITIONS crystal
Mn 0.000 0.000 0.000
Ni 0.000 0.000 0.500
Ni 0.000 0.500 0.000
Ni 0.500 0.000 0.000
Mo 0.500 0.500 0.500
```

---

Run b
# MnNi3Mo

A relaxed structure of MnNi3Mo (PBE-GGA, Alexandria via LeMat-Bulk). Values from VASP.

Geometry as Quantum ESPRESSO input:
```
&SYSTEM
  ibrav = 0, nat = 10, ntyp = 3
/
ATOMIC_SPECIES
Mn 54.94 Mn.upf
Ni 58.69 Ni.upf
Mo 95.94 Mo.upf
CELL_PARAMETERS angstrom
2.342 -6.263 0.000
2.342 6.263 0.000
0.000 0.000 4.498
ATOMIC_POSITIONS crystal
Mn 0.070 0.930 0.750
Mn 0.930 0.070 0.250
Ni 0.106 0.388 0.750
Ni 0.388 0.106 0.250
Ni 0.500 0.500 0.000
Ni 0.500 0.500 0.500
Ni 0.612 0.894 0.750
Ni 0.894 0.612 0.250
Mo 0.310 0.690 0.250
Mo 0.690 0.310 0.750
```

---

We find run b to be the most stable, with the next structure 1.050 eV/atom higher.